A plane-wave DFT calculation with GGA-PBE was carried out for crystalline GaH15N5Cl3 at its relaxed geometry.

Cell and atoms, written as CIF:
```
data_GaH15N5Cl3
_space_group_name_H-M_alt 'P 1'
_space_group_IT_number 1
_space_group_name_Hall 'P 1'
_cell_length_a 13.786
_cell_length_b 10.796
_cell_length_c 6.665
_cell_angle_alpha 90.00
_cell_angle_beta 90.00
_cell_angle_gamma 90.00
loop_
_atom_site_label
_atom_site_type_symbol
_atom_site_fract_x
_atom_site_fract_y
_atom_site_fract_z
Ga1 Ga 0.094 0.250 0.199
Ga2 Ga 0.406 0.750 0.699
Ga3 Ga 0.594 0.250 0.301
Ga4 Ga 0.906 0.750 0.801
H1 H 0.003 0.250 0.567
H2 H 0.019 0.025 0.213
H3 H 0.019 0.475 0.213
H4 H 0.060 0.673 0.605
H5 H 0.060 0.827 0.605
H6 H 0.117 0.018 0.069
H7 H 0.117 0.482 0.069
H8 H 0.128 0.019 0.318
H9 H 0.128 0.481 0.318
H10 H 0.187 0.172 0.879
H11 H 0.187 0.328 0.879
H12 H 0.193 0.172 0.514
H13 H 0.193 0.328 0.514
H14 H 0.229 0.750 0.876
H15 H 0.234 0.750 0.517
H16 H 0.266 0.250 0.017
H17 H 0.271 0.250 0.376
H18 H 0.307 0.672 0.014
H19 H 0.307 0.828 0.014
H20 H 0.313 0.672 0.379
H21 H 0.313 0.828 0.379
H22 H 0.372 0.519 0.818
H23 H 0.372 0.981 0.818
H24 H 0.383 0.518 0.569
H25 H 0.383 0.982 0.569
H26 H 0.440 0.173 0.105
H27 H 0.440 0.327 0.105
H28 H 0.481 0.525 0.713
H29 H 0.481 0.975 0.713
H30 H 0.497 0.750 0.067
H31 H 0.503 0.250 0.933
H32 H 0.519 0.025 0.287
H33 H 0.519 0.475 0.287
H34 H 0.560 0.673 0.895
H35 H 0.560 0.827 0.895
H36 H 0.617 0.018 0.431
H37 H 0.617 0.482 0.431
H38 H 0.628 0.019 0.182
H39 H 0.628 0.481 0.182
H40 H 0.687 0.172 0.621
H41 H 0.687 0.328 0.621
H42 H 0.693 0.172 0.986
H43 H 0.693 0.328 0.986
H44 H 0.729 0.750 0.624
H45 H 0.734 0.750 0.983
H46 H 0.766 0.250 0.483
H47 H 0.771 0.250 0.124
H48 H 0.807 0.672 0.486
H49 H 0.807 0.828 0.486
H50 H 0.813 0.672 0.121
H51 H 0.813 0.828 0.121
H52 H 0.872 0.519 0.682
H53 H 0.872 0.981 0.682
H54 H 0.883 0.518 0.931
H55 H 0.883 0.982 0.931
H56 H 0.940 0.173 0.395
H57 H 0.940 0.327 0.395
H58 H 0.981 0.525 0.787
H59 H 0.981 0.975 0.787
H60 H 0.997 0.750 0.433
N1 N 0.017 0.750 0.582
N2 N 0.090 0.056 0.199
N3 N 0.090 0.444 0.199
N4 N 0.196 0.250 0.967
N5 N 0.201 0.250 0.424
N6 N 0.299 0.750 0.924
N7 N 0.304 0.750 0.467
N8 N 0.410 0.556 0.699
N9 N 0.410 0.944 0.699
N10 N 0.483 0.250 0.082
N11 N 0.517 0.750 0.918
N12 N 0.590 0.056 0.301
N13 N 0.590 0.444 0.301
N14 N 0.696 0.250 0.533
N15 N 0.701 0.250 0.076
N16 N 0.799 0.750 0.576
N17 N 0.804 0.750 0.033
N18 N 0.910 0.556 0.801
N19 N 0.910 0.944 0.801
N20 N 0.983 0.250 0.418
Cl1 Cl 0.032 0.750 0.057
Cl2 Cl 0.153 0.504 0.689
Cl3 Cl 0.153 0.996 0.689
Cl4 Cl 0.347 0.004 0.189
Cl5 Cl 0.347 0.496 0.189
Cl6 Cl 0.468 0.250 0.557
Cl7 Cl 0.532 0.750 0.443
Cl8 Cl 0.653 0.504 0.811
Cl9 Cl 0.653 0.996 0.811
Cl10 Cl 0.847 0.004 0.311
Cl11 Cl 0.847 0.496 0.311
Cl12 Cl 0.968 0.250 0.943
```

Properties
Its crystal system is orthorhombic. The total DFT energy (no corrections) comes out at -4.7839 eV/atom. The calculation puts the total magnetization at 0.00 μB per formula unit.

***

A plane-wave DFT calculation with GGA-PBE was carried out for crystalline GaHPbCl2 at its relaxed geometry.

Cell and atoms, written as CIF:
```
data_GaHPbCl2
_space_group_name_H-M_alt 'P 1'
_space_group_IT_number 1
_space_group_name_Hall 'P 1'
_cell_length_a 5.615
_cell_length_b 5.615
_cell_length_c 3.738
_cell_angle_alpha 90.00
_cell_angle_beta 90.00
_cell_angle_gamma 90.00
loop_
_atom_site_label
_atom_site_type_symbol
_atom_site_fract_x
_atom_site_fract_y
_atom_site_fract_z
Ga1 Ga 0.000 0.000 0.000
H1 H 0.000 0.000 0.500
Pb1 Pb 0.500 0.500 0.000
Cl1 Cl 0.000 0.500 0.500
Cl2 Cl 0.500 0.000 0.500
```

Properties
Its crystal system is tetragonal. The total DFT energy (no corrections) comes out at -3.0016 eV/atom. The calculation puts the total magnetization at 0.00 μB per formula unit.

***

Computed values of density (unit: g/cm3) for the preceding records, in sequence: 1.749, 4.914.